Density functional theory data (GGA-PBE) for a relaxed structure of Pr2DyCd3AgAu2.

## Properties
Its space group is Amm2, No. 38. The value obtained for the total energy is -31.3 eV/cell. The volume is 218 Å³/cell. The magnetic moment comes out at 0.001 μB/f.u.

```
Pr2DyCd3AgAu2
1.0
3.946 0.000 0.000
0.000 6.906 3.997
0.000 -6.906 3.997
Pr Dy Cd Ag Au
2 1 3 1 2
Direct
0.000 0.204 0.796
0.000 0.796 0.204
0.000 0.387 0.387
0.500 0.057 0.057
0.500 0.536 0.792
0.500 0.792 0.536
0.000 0.793 0.793
0.500 0.137 0.461
0.500 0.461 0.137
```